Arrangement 1

Below is a geometry-optimized KCrIn structure, with properties calculated at the GGA-PBE level.

Calculated volume in Å³/cell: 87.2
Space-group type: P3m1 (156)
N(E_F) in states/eV per cell: 1.8
Size of the total moment in μB/cell: 4.3

abc: 3.4953 3.4953 8.2428
angles: 90.00 90.00 120.00
Element x y z (fractional)
K  0.0000  0.0000  0.0000
Cr  0.6667  0.3333  0.3730
In  0.3333  0.6667  0.6293


Arrangement 2

Below is a geometry-optimized KCrIn structure, with properties calculated at the GGA-PBE level.

Calculated volume in Å³/cell: 114.7
Space-group type: F-43m (216)
N(E_F) in states/eV per cell: 2.3
Size of the total moment in μB/cell: 5.0

abc: 5.4538 5.4538 5.4538
angles: 60.00 60.00 60.00
Element x y z (fractional)
K  0.0000  0.0000  0.0000
Cr  0.2500  0.2500  0.2500
In  0.7500  0.7500  0.7500


Arrangement 3

Below is a geometry-optimized KCrIn structure, with properties calculated at the GGA-PBE level.

Calculated volume in Å³/cell: 100.1
Space-group type: F-43m (216)
N(E_F) in states/eV per cell: 2.4
Size of the total moment in μB/cell: 4.7

abc: 5.2120 5.2120 5.2120
angles: 60.00 60.00 60.00
Element x y z (fractional)
K  0.0000  0.0000  0.0000
Cr  0.7500  0.7500  0.7500
In  0.5000  0.5000  0.5000


Short version: arrangement 2 is the least stable of them.